8
Lattice="-3.0316 3.0316 3.7630 3.0316 -3.0316 3.7630 3.0316 3.0316 -3.7630" Properties=species:S:1:pos:R:3 comment="Sc2CuN PBE optimized geometry" formation_energy_uncorrected_ev_per_fu=-2.9 space_group="I-42d (122)" pbc="T T T"
Sc 4.5473 1.0549 -0.9407
Sc 1.0549 1.5158 0.9407
Sc -1.5158 1.9766 2.8222
Sc 1.9766 1.5158 4.7037
Cu 3.0316 0.0000 1.8815
Cu 0.0000 0.0000 3.7630
N 0.0000 0.0000 0.0000
N 0.0000 3.0316 1.8815

4
Lattice="2.9022 0.0000 0.0000 0.0000 2.9022 0.0000 0.0000 0.0000 6.7663" Properties=species:S:1:pos:R:3 comment="AlTc2Os PBE optimized geometry" formation_enthalpy_0k_ev_per_atom=-0.14 space_group="P4/mmm (123)" pbc="T T T"
Al 0.0000 0.0000 0.0000
Tc 1.4511 1.4511 1.6506
Tc 1.4511 1.4511 5.1157
Os 0.0000 0.0000 3.3832

8
Lattice="3.2360 0.0000 0.0000 0.0000 5.0992 0.0000 0.0000 0.0000 9.5209" Properties=species:S:1:pos:R:3 comment="Pu2GeC PBE optimized geometry" formation_enthalpy_0k_ev_per_atom=-0.05 space_group="Pmmn (59)" pbc="T T T"
Pu 0.8090 1.2748 0.7618
Pu 0.8090 1.2748 6.6907
Pu 2.4270 3.8244 2.8302
Pu 2.4270 3.8244 8.7591
Ge 0.8090 1.2748 3.7092
Ge 2.4270 3.8244 5.8117
C 0.8090 3.8244 1.0156
C 2.4270 1.2748 8.5053

6
Lattice="4.2534 -2.4568 0.0000 4.2534 2.4568 0.0000 -0.0743 0.0000 12.4185" Properties=species:S:1:pos:R:3 comment="RbZrSc PBE optimized geometry" polymorph_energy_ev_per_atom=0.170 formation_enthalpy_0k_ev_per_atom=0.44 space_group="Cm (8)" pbc="T T T"
Rb 0.0000 0.0000 0.0000
Rb 5.6012 0.0000 3.9663
Zr 2.7629 0.0000 6.7297
Zr 8.4346 0.0000 8.1169
Sc 2.7631 0.0000 9.6041
Sc 5.5984 0.0000 8.1446

no.,electronic total energy (hartree per atom),mass density (g cm⁻³)
1,-0.2571,4.021
2,-0.3331,12.040
3,-0.3925,12.106
4,-0.1778,2.836